LaMoBr: relaxed, PBE.

Energy ... -5.583 eV/atom
Spin magnetization ... 1.8 μB per cell
Uncorrected formation energy ... 0.228 eV/atom

Geometry as CIF:
```
data_LaMoBr
_symmetry_space_group_name_H-M 'P -6 m 2'
_symmetry_Int_Tables_number 187
_symmetry_space_group_name_Hall 'P -6 2'
_cell_length_a 4.6980
_cell_length_b 4.6980
_cell_length_c 3.6079
_cell_angle_alpha 90.00
_cell_angle_beta 90.00
_cell_angle_gamma 120.00
loop_
_atom_site_label
_atom_site_fract_x
_atom_site_fract_y
_atom_site_fract_z
La1 0.0000 0.0000 0.0000
Mo1 0.6667 0.3333 0.5000
Br1 0.3333 0.6667 0.5000
```

=====

LaMoBr: relaxed, PBE.

Energy ... -4.984 eV/atom
Spin magnetization ... 16.0 μB per cell
Uncorrected formation energy ... 0.827 eV/atom

Geometry as CIF:
```
data_LaMoBr
_symmetry_space_group_name_H-M 'F -4 3 m'
_symmetry_Int_Tables_number 216
_symmetry_space_group_name_Hall 'F -4 2 3'
_cell_length_a 7.3315
_cell_length_b 7.3315
_cell_length_c 7.3315
_cell_angle_alpha 90.00
_cell_angle_beta 90.00
_cell_angle_gamma 90.00
loop_
_atom_site_label
_atom_site_fract_x
_atom_site_fract_y
_atom_site_fract_z
La1 0.0000 0.0000 0.0000
Mo1 0.2500 0.2500 0.2500
Br1 0.2500 0.2500 0.7500
```

=====

La4MoBr: relaxed, PBE.

Energy ... -4.698 eV/atom
Spin magnetization ... 6.8 μB per cell
Uncorrected formation energy ... 0.671 eV/atom

Geometry as CIF:
```
data_La4MoBr
_symmetry_space_group_name_H-M 'F -4 3 m'
_symmetry_Int_Tables_number 216
_symmetry_space_group_name_Hall 'F -4 2 3'
_cell_length_a 9.0338
_cell_length_b 9.0338
_cell_length_c 9.0338
_cell_angle_alpha 90.00
_cell_angle_beta 90.00
_cell_angle_gamma 90.00
loop_
_atom_site_label
_atom_site_fract_x
_atom_site_fract_y
_atom_site_fract_z
La1 0.1230 0.1230 0.1230
Mo1 0.2500 0.2500 0.7500
Br1 0.0000 0.0000 0.5000
```

=====

LaMo3Br: relaxed, PBE.

Energy ... -5.324 eV/atom
Spin magnetization ... 0.0 μB per cell
Uncorrected formation energy ... 2.495 eV/atom

Geometry as CIF:
```
data_LaMo3Br
_symmetry_space_group_name_H-M 'P m -3 m'
_symmetry_Int_Tables_number 221
_symmetry_space_group_name_Hall '-P 4 2 3'
_cell_length_a 4.8949
_cell_length_b 4.8949
_cell_length_c 4.8949
_cell_angle_alpha 90.00
_cell_angle_beta 90.00
_cell_angle_gamma 90.00
loop_
_atom_site_label
_atom_site_fract_x
_atom_site_fract_y
_atom_site_fract_z
La1 0.0000 0.0000 0.0000
Mo1 0.0000 0.0000 0.5000
Br1 0.5000 0.5000 0.5000
```

=====

LaMoBr: relaxed, PBE.

Energy ... -5.475 eV/atom
Spin magnetization ... 2.1 μB per cell
Uncorrected formation energy ... 0.335 eV/atom

Geometry as CIF:
```
data_LaMoBr
_symmetry_space_group_name_H-M 'P 3 m 1'
_symmetry_Int_Tables_number 156
_cell_length_a 3.5489
_cell_length_b 3.5489
_cell_length_c 7.0820
_cell_angle_alpha 90.00
_cell_angle_beta 90.00
_cell_angle_gamma 120.00
loop_
_symmetry_equiv_pos_as_xyz
'x,y,z'
'-y,x-y,z'
'-x+y,-x,z'
'-y,-x,z'
'-x+y,y,z'
'x,x-y,z'
loop_
_atom_site_label
_atom_site_fract_x
_atom_site_fract_y
_atom_site_fract_z
La1 0.0000 0.0000 0.0000
Mo1 0.3333 0.6667 0.3239
Br1 0.6667 0.3333 0.6438
```

=====

LaMoBr: relaxed, PBE.

Energy ... -5.509 eV/atom
Spin magnetization ... 4.9 μB per cell
Uncorrected formation energy ... 0.302 eV/atom

Geometry as CIF:
```
data_LaMoBr
_symmetry_space_group_name_H-M 'I 4 m m'
_symmetry_Int_Tables_number 107
_symmetry_space_group_name_Hall 'I 4 -2'
_cell_length_a 3.4757
_cell_length_b 3.4757
_cell_length_c 12.5713
_cell_angle_alpha 90.00
_cell_angle_beta 90.00
_cell_angle_gamma 90.00
loop_
_atom_site_label
_atom_site_fract_x
_atom_site_fract_y
_atom_site_fract_z
La1 0.0000 0.0000 0.0000
Mo1 0.0000 0.0000 0.3405
Br1 0.0000 0.0000 0.6897
```

=====

LaMoBr: relaxed, PBE.

Energy ... -5.526 eV/atom
Spin magnetization ... 11.6 μB per cell
Uncorrected formation energy ... 0.284 eV/atom

Geometry as CIF:
```
data_LaMoBr
_symmetry_space_group_name_H-M 'F m m 2'
_symmetry_Int_Tables_number 42
_symmetry_space_group_name_Hall 'F 2 -2'
_cell_length_a 4.3021
_cell_length_b 5.5241
_cell_length_c 13.2353
_cell_angle_alpha 90.00
_cell_angle_beta 90.00
_cell_angle_gamma 90.00
loop_
_atom_site_label
_atom_site_fract_x
_atom_site_fract_y
_atom_site_fract_z
La1 0.0000 0.0000 0.0000
Mo1 0.0000 0.0000 0.3470
Br1 0.0000 0.0000 0.6757
```

=====

LaNiMo2Br: relaxed, PBE.

Energy ... -6.009 eV/atom
Spin magnetization ... 3.5 μB per cell
Uncorrected formation energy ... 0.800 eV/atom

Geometry as CIF:
```
data_LaNiMo2Br
_symmetry_space_group_name_H-M 'P 4/m m m'
_symmetry_Int_Tables_number 123
_symmetry_space_group_name_Hall '-P 4 2'
_cell_length_a 4.5580
_cell_length_b 4.5580
_cell_length_c 5.9037
_cell_angle_alpha 90.00
_cell_angle_beta 90.00
_cell_angle_gamma 90.00
loop_
_atom_site_label
_atom_site_fract_x
_atom_site_fract_y
_atom_site_fract_z
La1 0.0000 0.0000 0.0000
Ni1 0.0000 0.0000 0.5000
Mo1 0.0000 0.5000 0.5000
Br1 0.5000 0.5000 0.0000
```